(P)
Material: ScHgMo3
Method: DFT, PBE
State: optimized geometry

Unit cell a=4.9477 b=4.9477 c=4.9477 alpha=90.00 beta=90.00 gamma=90.00
Space group Pm-3m (No. 221)
Asymmetric unit:
Sc 0.0000 0.0000 0.0000 [1 per cell]
Hg 0.5000 0.5000 0.5000 [1 per cell]
Mo 0.0000 0.5000 0.5000 [3 per cell]

(Q)
Material: ScHgMo3
Method: DFT, PBE
State: optimized geometry

Unit cell a=4.6468 b=4.6468 c=4.6468 alpha=90.00 beta=90.00 gamma=90.00
Space group Pm-3m (No. 221)
Asymmetric unit:
Sc 0.0000 0.0000 0.0000 [1 per cell]
Hg 0.5000 0.5000 0.5000 [1 per cell]
Mo 0.0000 0.0000 0.5000 [3 per cell]

Which of them is least stable? Easy: (P).

(P)
Material: HgMo2Se2
Method: DFT, PBE
State: optimized geometry

Unit cell a=7.7935 b=7.7935 c=2.9895 alpha=90.00 beta=90.00 gamma=90.00
Space group P4/mbm (No. 127)
Asymmetric unit:
Hg 0.0000 0.0000 0.0000 [2 per cell]
Mo 0.1446 0.3554 0.5000 [4 per cell]
Se 0.1366 0.6366 0.0000 [4 per cell]

(Q)
Material: HgMo2Se2
Method: DFT, PBE
State: optimized geometry

Unit cell a=3.8083 b=3.8083 c=18.5807 alpha=90.00 beta=90.00 gamma=90.00
Space group I4/mmm (No. 139)
Asymmetric unit:
Hg 0.0000 0.0000 0.0000 [2 per cell]
Mo 0.0000 0.5000 0.2500 [4 per cell]
Se 0.0000 0.0000 0.3444 [4 per cell]

Which of them is least stable? Easy: (P).

(P)
Material: Si3HgMo
Method: DFT, PBE
State: optimized geometry

Unit cell a=4.7998 b=4.7998 c=4.7998 alpha=90.00 beta=90.00 gamma=90.00
Space group Pm-3m (No. 221)
Asymmetric unit:
Si 0.0000 0.0000 0.5000 [3 per cell]
Hg 0.5000 0.5000 0.5000 [1 per cell]
Mo 0.0000 0.0000 0.0000 [1 per cell]

(Q)
Material: Si3HgMo
Method: DFT, PBE
State: optimized geometry

Unit cell a=4.9544 b=4.9544 c=4.9544 alpha=90.00 beta=90.00 gamma=90.00
Space group Pm-3m (No. 221)
Asymmetric unit:
Si 0.0000 0.0000 0.5000 [3 per cell]
Hg 0.0000 0.0000 0.0000 [1 per cell]
Mo 0.5000 0.5000 0.5000 [1 per cell]

Which of them is least stable? Easy: (Q).

(P)
Material: SiHgMo3
Method: DFT, PBE
State: optimized geometry

Unit cell a=4.5316 b=4.5316 c=4.5316 alpha=90.00 beta=90.00 gamma=90.00
Space group Pm-3m (No. 221)
Asymmetric unit:
Si 0.0000 0.0000 0.0000 [1 per cell]
Hg 0.5000 0.5000 0.5000 [1 per cell]
Mo 0.0000 0.0000 0.5000 [3 per cell]

(Q)
Material: SiHgMo3
Method: DFT, PBE
State: optimized geometry

Unit cell a=5.0462 b=5.0462 c=5.0462 alpha=90.00 beta=90.00 gamma=90.00
Space group Pm-3m (No. 221)
Asymmetric unit:
Si 0.0000 0.0000 0.0000 [1 per cell]
Hg 0.5000 0.5000 0.5000 [1 per cell]
Mo 0.0000 0.5000 0.5000 [3 per cell]

Which of them is least stable? Easy: (Q).